No. 1
Material: IrOs2Pt
Method: DFT, GGA-PBEsol
State: relaxed

* E_form: 6 kJ per mole of atoms
* N(E_F): 4.02 states/eV/f.u.
* final energy: -40.95 eV/cell

Cell lengths 2.7117, 2.7117, 7.7464 Å; angles 90.00, 90.00, 90.00 degrees
Last column: nearest neighbours and their distance in Å.
Fractional positions:
Ir1 0.5000 0.5000 0.7595  4 Os 2.68, 4 Ir 2.71, 4 Pt 2.80
Os1 0.5000 0.5000 0.2413  8 Os 2.67-2.71, 4 Pt 2.76
Os2 0.0000 0.0000 0.0022  8 Os 2.67-2.71, 4 Ir 2.68
Pt1 0.0000 0.0000 0.4970  4 Pt 2.71, 4 Os 2.76, 4 Ir 2.80

No. 2
Material: Be3HgSe
Method: DFT, GGA-PBEsol
State: relaxed

* formation energy without anion corrections: 4.359 eV per formula unit
* N(E_F): 2.74 states/eV/f.u.
* final energy: -12.06 eV/cell

Cell lengths 4.4482, 4.4482, 4.4482 Å; angles 90.00, 90.00, 90.00 degrees
Last column: nearest neighbours and their distance in Å.
Fractional positions:
Be1 0.0000 0.0000 0.5000  2 Hg 2.22
Be2 0.0000 0.5000 0.0000  2 Hg 2.22
Be3 0.5000 0.0000 0.0000  2 Hg 2.22
Hg1 0.0000 0.0000 0.0000  6 Be 2.22
Se1 0.5000 0.5000 0.5000  12 Be 3.15

No. 3
Material: Y2Cl
Method: DFT, GGA-PBEsol
State: relaxed

* formation energy without anion corrections: 0.646 eV per formula unit
* N(E_F): 3.45 states/eV/f.u.
* final energy: -30.01 eV/cell

Cell lengths 6.4387, 6.4387, 6.4387 Å; angles 60.00, 60.00, 60.00 degrees
Last column: nearest neighbours and their distance in Å.
Fractional positions:
Y1 0.1250 0.1250 0.6250  6 Y 3.22
Y2 0.6250 0.1250 0.1250  6 Y 3.22
Y3 0.1250 0.1250 0.1250  6 Y 3.22
Y4 0.1250 0.6250 0.1250  6 Y 3.22
Cl1 0.5000 0.5000 0.5000  12 Y 3.78, 4 Cl 3.94
Cl2 0.7500 0.7500 0.7500  12 Y 3.78, 4 Cl 3.94

No. 4
Material: YSbAs2
Method: DFT, GGA-PBEsol
State: relaxed

* formation energy without anion corrections: -2.827 eV per formula unit
* N(E_F): 0.65 states/eV/f.u.
* final energy: -24.42 eV/cell

Cell lengths 4.0716, 4.0716, 5.9006 Å; angles 90.00, 90.00, 90.00 degrees
Last column: nearest neighbours and their distance in Å.
Fractional positions:
As1 0.0000 0.0000 0.8788  1 Sb 2.69, 4 Y 2.89
As2 0.5000 0.5000 0.3547  2 Y 2.89-3.01, 4 Sb 2.91
Sb1 0.0000 0.0000 0.4227  5 As 2.69-2.91
Y1 0.5000 0.5000 0.8438  6 As 2.89-3.01

No. 5
Material: NaCu3Pb
Method: DFT, GGA-PBEsol
State: relaxed

* E_form: 65 kJ per mole of atoms
* N(E_F): 1.06 states/eV/f.u.
* final energy: -15.04 eV/cell

Cell lengths 4.9330, 4.9330, 4.9330 Å; angles 90.00, 90.00, 90.00 degrees
Last column: nearest neighbours and their distance in Å.
Fractional positions:
Cu1 0.5000 0.0000 0.0000  2 Pb 2.47
Cu2 0.0000 0.5000 0.0000  2 Pb 2.47
Cu3 0.0000 0.0000 0.5000  2 Pb 2.47
Pb1 0.0000 0.0000 0.0000  6 Cu 2.47
Na1 0.5000 0.5000 0.5000  12 Cu 3.49

No. 6
Material: ZrSbN2O
Method: DFT, GGA-PBEsol
State: relaxed

* formation energy without anion corrections: -1.926 eV per formula unit
* N(E_F): 3.30 states/eV/f.u.
* final energy: -37.88 eV/cell

Cell lengths 4.0181, 4.2049, 4.2049 Å; angles 90.00, 90.00, 90.00 degrees
Last column: nearest neighbours and their distance in Å.
Fractional positions:
O1 0.5000 0.0000 0.0000  2 Zr 2.01
N1 0.0000 0.5000 0.0000  2 Zr 2.10
N2 0.0000 0.0000 0.5000  2 Zr 2.10
Sb1 0.5000 0.5000 0.5000  8 N 2.91, 4 O 2.97
Zr1 0.0000 0.0000 0.0000  2 O 2.01, 4 N 2.10

No. 7
Material: TaNb2BrF
Method: DFT, GGA-PBEsol
State: relaxed

* formation energy without anion corrections: 2.582 eV per formula unit
* N(E_F): 3.14 states/eV/f.u.
* final energy: -35.41 eV/cell

Cell lengths 4.3021, 4.3745, 4.3745 Å; angles 90.00, 90.00, 90.00 degrees
Last column: nearest neighbours and their distance in Å.
Fractional positions:
Ta1 0.5000 0.0000 0.0000  2 F 2.15
Nb1 0.0000 0.5000 0.0000  2 F 2.19
Nb2 0.0000 0.0000 0.5000  2 F 2.19
F1 0.0000 0.0000 0.0000  2 Ta 2.15, 4 Nb 2.19
Br1 0.5000 0.5000 0.5000  8 Nb 3.07, 4 Ta 3.09

No. 8
Material: CaCd2P2
Method: DFT, GGA-PBEsol
State: relaxed

* E_form: -56 kJ per mole of atoms
* final energy: -18.99 eV/cell

Cell lengths 4.2480, 4.2480, 6.9211 Å; angles 90.00, 90.00, 120.00 degrees
Last column: nearest neighbours and their distance in Å.
Fractional positions:
Ca1 0.0000 0.0000 0.0000  6 P 2.95
P1 0.3333 0.6667 0.2381  4 Cd 2.60-2.77
P2 0.6667 0.3333 0.7619  4 Cd 2.60-2.77
Cd1 0.3333 0.6667 0.6382  4 P 2.60-2.77
Cd2 0.6667 0.3333 0.3618  4 P 2.60-2.77

No. 9
Material: CuSe2F
Method: DFT, GGA-PBEsol
State: relaxed

* formation energy without anion corrections: -0.726 eV per formula unit
* N(E_F): 1.67 states/eV/f.u.
* final energy: -29.38 eV/cell

Cell lengths 4.1241, 4.1241, 8.7408 Å; angles 103.65, 103.65, 90.00 degrees
Last column: nearest neighbours and their distance in Å.
Fractional positions:
Se1 0.9550 0.3750 0.2500  2 Cu 2.41, 2 Se 2.49, 2 F 2.68
Se2 0.6250 0.7050 0.7500  2 Cu 2.41, 2 Se 2.49, 2 F 2.68
Se3 0.1250 0.0450 0.7500  2 Cu 2.41, 2 Se 2.49, 2 F 2.68
Se4 0.2950 0.8750 0.2500  2 Cu 2.41, 2 Se 2.49, 2 F 2.68
Cu1 0.0000 0.0000 0.0000  4 Se 2.41
Cu2 0.2500 0.7500 0.5000  4 Se 2.41
F1 0.5000 0.5000 0.0000  4 Se 2.68, 4 Cu 2.92
F2 0.7500 0.2500 0.5000  4 Se 2.68, 4 Cu 2.92

No. 10
Material: CsRb2NaGa
Method: DFT, GGA-PBEsol
State: relaxed

* E_form: 69 kJ per mole of atoms
* N(E_F): 6.16 states/eV/f.u.
* final energy: -4.14 eV/cell

Cell lengths 6.6764, 7.6252, 7.6252 Å; angles 90.00, 90.00, 90.00 degrees
Last column: nearest neighbours and their distance in Å.
Fractional positions:
Rb1 0.0000 0.5000 0.0000  2 Cs 3.81
Rb2 0.0000 0.0000 0.5000  2 Cs 3.81
Ga1 0.5000 0.5000 0.5000  8 Rb 5.07, 4 Na 5.39
Na1 0.5000 0.0000 0.0000  2 Cs 3.34
Cs1 0.0000 0.0000 0.0000  2 Na 3.34

No. 11
Material: MgAsRu2
Method: DFT, GGA-PBEsol
State: relaxed

* E_form: 2 kJ per mole of atoms
* N(E_F): 2.20 states/eV/f.u.
* final energy: -27.09 eV/cell

Cell lengths 2.9712, 4.5736, 4.7885 Å; angles 105.38, 90.00, 108.95 degrees
Last column: nearest neighbours and their distance in Å.
Fractional positions:
Ru1 0.7260 0.4520 0.7145  2 As 2.44, 2 Ru 2.66, 1 Mg 2.68
Ru2 0.2740 0.5480 0.2855  2 As 2.44, 2 Ru 2.66, 1 Mg 2.68
As1 0.0000 0.0000 0.5000  4 Ru 2.44
Mg1 0.5000 0.0000 0.0000  6 Ru 2.68-2.81, 4 As 2.82, 2 Mg 2.97

No. 12
Material: LaAlSi3
Method: DFT, GGA-PBEsol
State: relaxed

* formation energy without anion corrections: 7.165 eV per formula unit
* N(E_F): 4.67 states/eV/f.u.
* final energy: -19.51 eV/cell

Cell lengths 5.4311, 5.4311, 5.4311 Å; angles 90.00, 90.00, 90.00 degrees
Last column: nearest neighbours and their distance in Å.
Fractional positions:
Si1 0.0000 0.5000 0.0000  2 La 2.72
Si2 0.5000 0.0000 0.0000  2 La 2.72
Si3 0.0000 0.0000 0.5000  2 La 2.72
Al1 0.5000 0.5000 0.5000  12 Si 3.84
La1 0.0000 0.0000 0.0000  6 Si 2.72

No. 13
Material: BaTl2Hg
Method: DFT, GGA-PBEsol
State: relaxed

* E_form: -28 kJ per mole of atoms
* N(E_F): 3.37 states/eV/f.u.
* final energy: -9.14 eV/cell

Cell lengths 4.8745, 4.8745, 5.1362 Å; angles 90.00, 90.00, 90.00 degrees
Last column: nearest neighbours and their distance in Å.
Fractional positions:
Hg1 0.0000 0.0000 0.5000  4 Ba 3.45, 8 Tl 3.54
Tl1 0.5000 0.0000 0.0000  4 Tl 3.45, 4 Hg 3.54, 4 Ba 3.54
Tl2 0.0000 0.5000 0.0000  4 Tl 3.45, 4 Ba 3.54, 4 Hg 3.54
Ba1 0.5000 0.5000 0.5000  4 Hg 3.45, 8 Tl 3.54

No. 14
Material: CeB2Ir2C
Method: DFT, GGA-PBEsol
State: relaxed

* E_form: -59 kJ per mole of atoms
* N(E_F): 2.97 states/eV/f.u.
* final energy: -53.58 eV/cell

Cell lengths 3.8148, 3.8148, 5.8164 Å; angles 109.14, 109.14, 90.00 degrees
Last column: nearest neighbours and their distance in Å.
Fractional positions:
Ir1 0.2500 0.7500 0.5000  4 B 2.18
Ir2 0.7500 0.2500 0.5000  4 B 2.18
B1 0.8531 0.8531 0.7062  1 C 1.51
B2 0.1469 0.1469 0.2938  1 C 1.51
Ce1 0.5000 0.5000 0.0000  4 C 2.70
C1 0.0000 0.0000 0.0000  2 B 1.51

No. 15
Material: BaSb3
Method: DFT, GGA-PBEsol
State: relaxed

* formation energy without anion corrections: -1.380 eV per formula unit
* N(E_F): 2.18 states/eV/f.u.
* final energy: -17.20 eV/cell

Cell lengths 3.9544, 4.5838, 6.7588 Å; angles 90.00, 90.00, 90.00 degrees
Last column: nearest neighbours and their distance in Å.
Fractional positions:
Sb1 0.5000 0.5000 0.2894  1 Sb 2.85
Sb2 0.0000 0.0000 0.5000  8 Sb 3.34, 2 Ba 3.38
Sb3 0.5000 0.5000 0.7106  1 Sb 2.85
Ba1 0.0000 0.0000 0.0000  10 Sb 3.38-3.60